[1]
Sm2Ho2Si4Ir | PBE-GGA | optimized geometry

a b c (Å): 6.4664 6.4664 6.4664
angles (deg): 115.93 115.93 97.21
Atoms (fractional coordinates):
Sm: 0.2500 0.7500 0.5000
Sm: 0.7500 0.2500 0.5000
Ho: 0.1871 0.1871 0.0000
Ho: 0.8129 0.8129 0.0000
Si: 0.2521 0.2521 0.5042
Si: 0.2521 0.7479 0.0000
Si: 0.7479 0.2521 0.0000
Si: 0.7479 0.7479 0.4958
Ir: 0.5000 0.5000 0.0000

Computed properties:
Raw formation energy ... -0.414 eV per atom
SG ... No. 139
Magnetic moment ... 0.000 μB per atom

***

[2]
Sm2Ho2SiIr4 | PBE-GGA | optimized geometry

a b c (Å): 6.4183 6.4183 6.4183
angles (deg): 119.84 119.84 90.28
Atoms (fractional coordinates):
Sm: 0.1920 0.1920 0.0000
Sm: 0.8080 0.8080 0.0000
Ho: 0.2500 0.7500 0.5000
Ho: 0.7500 0.2500 0.5000
Si: 0.5000 0.5000 0.0000
Ir: 0.2468 0.2468 0.4936
Ir: 0.2468 0.7532 0.0000
Ir: 0.7532 0.2468 0.0000
Ir: 0.7532 0.7532 0.5064

Computed properties:
Raw formation energy ... -0.454 eV per atom
SG ... No. 139
Magnetic moment ... 0.000 μB per atom

***

[3]
SmHoSiIr | PBE-GGA | optimized geometry

a b c (Å): 3.9773 5.7652 5.7652
angles (deg): 42.89 90.00 90.00
Atoms (fractional coordinates):
Sm: 0.0000 0.0000 0.0000
Ho: 0.5000 0.2827 0.2827
Si: 0.5000 0.5816 0.5816
Ir: 0.0000 0.7215 0.7215

Computed properties:
Raw formation energy ... -0.834 eV per atom
SG ... No. 38
Magnetic moment ... 0.000 μB per atom

***

Look up the raw formation energy of the first one.
-0.414 eV per atom